4
Lattice="1.8137 1.0472 9.4330 -1.8137 1.0472 9.4330 0.0000 -2.0943 9.4330" Properties=species:S:1:pos:R:3 comment="GGA-PBE InGa2Se, relaxed" magnetic_moment_mub_per_cell=0.0 e_above_lowest_polymorph_kj_per_mol_fu=23 sg="No. 166" raw_formation_energy_kj_per_mol_fu=-24.2 pbc="T T T"
In 0.0000 0.0000 0.0000
Ga 0.0000 0.0000 2.9792
Ga 0.0000 0.0000 25.3199
Se 0.0000 0.0000 14.1496